(1)
The following is a DFT calculation (PBE) of a relaxed PuZrPa6 crystal.

Calculated values
- V: 197.40 Å³/cell
- Space group: Amm2 (38)
- Formation energy from the elements: 55.8 meV/atom

Cell: 4.4969 6.6258 6.6258 Å, 90.75 90.00 90.00°
Last column: nearest neighbours and their distance in Å.
Atoms (fractional coordinates):
1 Pu 0.0000 0.0000 0.0000  2 Zr 3.19, 10 Pa 3.25-3.35
2 Zr 0.5000 0.7566 0.7566  2 Pu 3.19, 10 Pa 3.24-3.33
3 Pa 0.0000 0.0021 0.5050  8 Pa 3.23-3.34, 2 Zr 3.25, 2 Pu 3.28-3.35
4 Pa 0.0000 0.5050 0.0021  8 Pa 3.23-3.34, 2 Zr 3.25, 2 Pu 3.28-3.35
5 Pa 0.0000 0.5061 0.5061  2 Zr 3.24, 10 Pa 3.26-3.34
6 Pa 0.5000 0.2517 0.2517  2 Pu 3.25, 10 Pa 3.27-3.34
7 Pa 0.5000 0.2542 0.7554  8 Pa 3.23-3.34, 2 Pu 3.25, 2 Zr 3.30-3.33
8 Pa 0.5000 0.7554 0.2542  8 Pa 3.23-3.34, 2 Pu 3.25, 2 Zr 3.30-3.33

***

(2)
The following is a DFT calculation (PBE) of a relaxed Sr2SiSF crystal.

Calculated values
- V: 146.09 Å³/cell
- Uncorrected formation energy: -987 meV/atom
- Space group: P4/mmm (123)

Cell: 5.6965 5.6965 4.5018 Å, 90.00 90.00 90.00°
Last column: nearest neighbours and their distance in Å.
Atoms (fractional coordinates):
1 Sr 0.0000 0.5000 0.0000  2 S 2.85
2 Sr 0.5000 0.0000 0.0000  2 S 2.85
3 Si 0.0000 0.0000 0.5000  2 S 2.25
4 S 0.0000 0.0000 0.0000  2 Si 2.25
5 F 0.5000 0.5000 0.5000  8 Sr 3.63, 4 Si 4.03

***

(3)
The following is a DFT calculation (PBE) of a relaxed Rb12Ge3F5 crystal.

Calculated values
- V: 3182.20 Å³/cell
- Uncorrected formation energy: -1180 meV/atom
- Space group: Ia-3d (230)

Cell: 16.0491 16.0491 16.0491 Å, 109.47 109.47 109.47°
Last column: nearest neighbours and their distance in Å.
Atoms (fractional coordinates):
1 Rb 0.0203 0.2002 0.1184  2 F 2.73-2.98
2 Rb 0.0203 0.3200 0.9018  2 F 2.73-2.98
3 Rb 0.0818 0.7002 0.6800  2 F 2.73-2.98
4 Rb 0.0818 0.8816 0.4018  2 F 2.73-2.98
5 Rb 0.0982 0.6184 0.4182  2 F 2.73-2.98
6 Rb 0.0982 0.9797 0.6800  2 F 2.73-2.98
7 Rb 0.1184 0.0203 0.2002  2 F 2.73-2.98
8 Rb 0.1184 0.5982 0.9182  2 F 2.73-2.98
9 Rb 0.1800 0.2002 0.5818  2 F 2.73-2.98
10 Rb 0.1800 0.4797 0.5982  2 F 2.73-2.98
11 Rb 0.2002 0.1184 0.0203  2 F 2.73-2.98
12 Rb 0.2002 0.5818 0.1800  2 F 2.73-2.98
13 Rb 0.2998 0.3200 0.9182  2 F 2.73-2.98
14 Rb 0.2998 0.4797 0.3816  2 F 2.73-2.98
15 Rb 0.3200 0.9018 0.0203  2 F 2.73-2.98
16 Rb 0.3200 0.9182 0.2998  2 F 2.73-2.98
17 Rb 0.3816 0.2998 0.4797  2 F 2.73-2.98
18 Rb 0.3816 0.5818 0.9018  2 F 2.73-2.98
19 Rb 0.4018 0.0818 0.8816  2 F 2.73-2.98
20 Rb 0.4018 0.8200 0.5203  2 F 2.73-2.98
21 Rb 0.4182 0.0982 0.6184  2 F 2.73-2.98
22 Rb 0.4182 0.8200 0.7998  2 F 2.73-2.98
23 Rb 0.4797 0.3816 0.2998  2 F 2.73-2.98
24 Rb 0.4797 0.5982 0.1800  2 F 2.73-2.98
25 Rb 0.5203 0.4018 0.8200  2 F 2.73-2.98
26 Rb 0.5203 0.6184 0.7002  2 F 2.73-2.98
27 Rb 0.5818 0.1800 0.2002  2 F 2.73-2.98
28 Rb 0.5818 0.9018 0.3816  2 F 2.73-2.98
29 Rb 0.5982 0.1800 0.4797  2 F 2.73-2.98
30 Rb 0.5982 0.9182 0.1184  2 F 2.73-2.98
31 Rb 0.6184 0.4182 0.0982  2 F 2.73-2.98
32 Rb 0.6184 0.7002 0.5203  2 F 2.73-2.98
33 Rb 0.6800 0.0818 0.7002  2 F 2.73-2.98
34 Rb 0.6800 0.0982 0.9797  2 F 2.73-2.98
35 Rb 0.7002 0.5203 0.6184  2 F 2.73-2.98
36 Rb 0.7002 0.6800 0.0818  2 F 2.73-2.98
37 Rb 0.7998 0.4182 0.8200  2 F 2.73-2.98
38 Rb 0.7998 0.8816 0.9797  2 F 2.73-2.98
39 Rb 0.8200 0.5203 0.4018  2 F 2.73-2.98
40 Rb 0.8200 0.7998 0.4182  2 F 2.73-2.98
41 Rb 0.8816 0.4018 0.0818  2 F 2.73-2.98
42 Rb 0.8816 0.9797 0.7998  2 F 2.73-2.98
43 Rb 0.9018 0.0203 0.3200  2 F 2.73-2.98
44 Rb 0.9018 0.3816 0.5818  2 F 2.73-2.98
45 Rb 0.9182 0.1184 0.5982  2 F 2.73-2.98
46 Rb 0.9182 0.2998 0.3200  2 F 2.73-2.98
47 Rb 0.9797 0.6800 0.0982  2 F 2.73-2.98
48 Rb 0.9797 0.7998 0.8816  2 F 2.73-2.98
49 Ge 0.1250 0.2500 0.3750  8 Rb 3.57-3.76
50 Ge 0.1250 0.3750 0.7500  8 Rb 3.57-3.76
51 Ge 0.2500 0.3750 0.1250  8 Rb 3.57-3.76
52 Ge 0.2500 0.8750 0.6250  8 Rb 3.57-3.76
53 Ge 0.3750 0.1250 0.2500  8 Rb 3.57-3.76
54 Ge 0.3750 0.7500 0.1250  8 Rb 3.57-3.76
55 Ge 0.6250 0.2500 0.8750  8 Rb 3.57-3.76
56 Ge 0.6250 0.8750 0.7500  8 Rb 3.57-3.76
57 Ge 0.7500 0.1250 0.3750  8 Rb 3.57-3.76
58 Ge 0.7500 0.6250 0.8750  8 Rb 3.57-3.76
59 Ge 0.8750 0.6250 0.2500  8 Rb 3.57-3.76
60 Ge 0.8750 0.7500 0.6250  8 Rb 3.57-3.76
61 F 0.0000 0.0000 0.0000  6 Rb 2.98
62 F 0.0000 0.0000 0.5000  6 Rb 2.98
63 F 0.0000 0.5000 0.0000  6 Rb 2.98
64 F 0.0000 0.5000 0.5000  6 Rb 2.98
65 F 0.1250 0.7500 0.8750  4 Rb 2.73
66 F 0.1250 0.8750 0.2500  4 Rb 2.73
67 F 0.2500 0.1250 0.8750  4 Rb 2.73
68 F 0.2500 0.6250 0.3750  4 Rb 2.73
69 F 0.3750 0.2500 0.6250  4 Rb 2.73
70 F 0.3750 0.6250 0.7500  4 Rb 2.73
71 F 0.5000 0.0000 0.0000  6 Rb 2.98
72 F 0.5000 0.0000 0.5000  6 Rb 2.98
73 F 0.5000 0.5000 0.0000  6 Rb 2.98
74 F 0.5000 0.5000 0.5000  6 Rb 2.98
75 F 0.6250 0.3750 0.2500  4 Rb 2.73
76 F 0.6250 0.7500 0.3750  4 Rb 2.73
77 F 0.7500 0.3750 0.6250  4 Rb 2.73
78 F 0.7500 0.8750 0.1250  4 Rb 2.73
79 F 0.8750 0.1250 0.7500  4 Rb 2.73
80 F 0.8750 0.2500 0.1250  4 Rb 2.73

***

(4)
The following is a DFT calculation (PBE) of a relaxed V4CrOs crystal.

Calculated values
- V: 79.04 Å³/cell
- Space group: P2/m (10)
- Formation energy from the elements: -273.6 meV/atom

Cell: 4.2011 4.2016 4.9416 Å, 90.00 115.02 90.00°
Last column: nearest neighbours and their distance in Å.
Atoms (fractional coordinates):
1 V 0.1642 0.0000 0.3285  2 Os 2.56-2.57, 2 Cr 2.56, 4 V 2.59-2.61
2 V 0.3342 0.5000 0.6681  2 Cr 2.57-2.58, 2 Os 2.57, 4 V 2.58-2.59
3 V 0.6658 0.5000 0.3319  2 Cr 2.57-2.58, 2 Os 2.57, 4 V 2.58-2.59
4 V 0.8358 0.0000 0.6715  2 Os 2.56-2.57, 2 Cr 2.56, 4 V 2.59-2.61
5 Cr 0.0000 0.5000 0.0000  8 V 2.56-2.58
6 Os 0.5000 0.0000 0.0000  8 V 2.56-2.57

***

(5)
The following is a DFT calculation (PBE) of a relaxed Pm3BTe crystal.

Calculated values
- V: 137.45 Å³/cell
- Uncorrected formation energy: -422 meV/atom
- Space group: Pm-3m (221)

Cell: 5.1608 5.1608 5.1608 Å, 90.00 90.00 90.00°
Last column: nearest neighbours and their distance in Å.
Atoms (fractional coordinates):
1 Pm 0.0000 0.0000 0.5000  2 B 2.58
2 Pm 0.0000 0.5000 0.0000  2 B 2.58
3 Pm 0.5000 0.0000 0.0000  2 B 2.58
4 B 0.0000 0.0000 0.0000  6 Pm 2.58
5 Te 0.5000 0.5000 0.5000  12 Pm 3.65

***

(6)
The following is a DFT calculation (PBE) of a relaxed HgPb4Br crystal.

Calculated values
- V: 197.39 Å³/cell
- Uncorrected formation energy: 69 meV/atom
- Space group: F-43m (216)

Cell: 6.5355 6.5355 6.5355 Å, 60.00 60.00 60.00°
Last column: nearest neighbours and their distance in Å.
Atoms (fractional coordinates):
1 Hg 0.0000 0.0000 0.0000  12 Pb 3.83, 4 Br 4.00
2 Pb 0.1230 0.6257 0.6257  6 Pb 3.25-3.29
3 Pb 0.6257 0.1230 0.6257  6 Pb 3.25-3.29
4 Pb 0.6257 0.6257 0.1230  6 Pb 3.25-3.29
5 Pb 0.6257 0.6257 0.6257  6 Pb 3.25-3.29
6 Br 0.2500 0.2500 0.2500  12 Pb 3.83, 4 Hg 4.00

***

(7)
The following is a DFT calculation (PBE) of a relaxed SrCo2Mo crystal.

Calculated values
- V: 71.59 Å³/cell
- Space group: Immm (71)
- Formation energy from the elements: 837.8 meV/atom

Cell: 4.7539 4.7539 4.7539 Å, 130.07 114.02 87.09°
Last column: nearest neighbours and their distance in Å.
Atoms (fractional coordinates):
1 Sr 0.0000 0.0000 0.0000  8 Co 2.88-2.93
2 Co 0.2999 0.7999 0.5000  2 Mo 2.43
3 Co 0.7001 0.2001 0.5000  2 Mo 2.43
4 Mo 0.5000 0.5000 0.0000  4 Co 2.43

***

(8)
The following is a DFT calculation (PBE) of a relaxed Tc2RhI crystal.

Calculated values
- V: 190.36 Å³/cell
- Uncorrected formation energy: 1199 meV/atom
- Space group: I-42d (122)

Cell: 6.9681 6.9681 6.9681 Å, 130.65 130.65 72.37°
Last column: nearest neighbours and their distance in Å.
Atoms (fractional coordinates):
1 Tc 0.0924 0.6250 0.9674  2 Rh 2.39, 2 I 2.61
2 Tc 0.3750 0.3424 0.4674  2 Rh 2.39, 2 I 2.61
3 Tc 0.6576 0.1250 0.0326  2 Rh 2.39, 2 I 2.61
4 Tc 0.8750 0.9076 0.5326  2 Rh 2.39, 2 I 2.61
5 Rh 0.0000 0.0000 0.0000  4 Tc 2.39
6 Rh 0.7500 0.2500 0.5000  4 Tc 2.39
7 I 0.2500 0.7500 0.5000  4 Tc 2.61
8 I 0.5000 0.5000 0.0000  4 Tc 2.61

***

(9)
The following is a DFT calculation (PBE) of a relaxed Ta2VCuH crystal.

Calculated values
- V: 64.11 Å³/cell
- Uncorrected energy: -7.9773 eV/atom
- Space group: P4/mmm (123)

Cell: 4.2829 4.2829 3.4950 Å, 90.00 90.00 90.00°
Last column: nearest neighbours and their distance in Å.
Atoms (fractional coordinates):
1 Ta 0.0000 0.5000 0.0000  2 H 2.14
2 Ta 0.5000 0.0000 0.0000  2 H 2.14
3 V 0.0000 0.0000 0.5000  8 Ta 2.76, 4 Cu 3.03
4 Cu 0.5000 0.5000 0.5000  2 H 1.75
5 H 0.5000 0.5000 0.0000  2 Cu 1.75

***

(10)
The following is a DFT calculation (PBE) of a relaxed BeSiAsBr2 crystal.

Calculated values
- V: 105.75 Å³/cell
- Uncorrected formation energy: 446 meV/atom
- Space group: P4/mmm (123)

Cell: 4.6608 4.6608 4.8682 Å, 90.00 90.00 90.00°
Last column: nearest neighbours and their distance in Å.
Atoms (fractional coordinates):
1 Be 0.0000 0.0000 0.0000  4 Br 2.33, 2 As 2.43
2 Si 0.5000 0.5000 0.5000  4 As 3.30, 8 Br 3.37
3 As 0.0000 0.0000 0.5000  2 Be 2.43
4 Br 0.0000 0.5000 0.0000  2 Be 2.33
5 Br 0.5000 0.0000 0.0000  2 Be 2.33

***

(11)
The following is a DFT calculation (PBE) of a relaxed TiRh3 crystal.

Calculated values
- V: 57.26 Å³/cell
- Space group: Pm-3m (221)
- Formation energy from the elements: -623.7 meV/atom

Cell: 3.8544 3.8544 3.8544 Å, 90.00 90.00 90.00°
Last column: nearest neighbours and their distance in Å.
Atoms (fractional coordinates):
1 Ti 0.0000 0.0000 0.0000  12 Rh 2.73
2 Rh 0.0000 0.5000 0.5000  8 Rh 2.73, 4 Ti 2.73
3 Rh 0.5000 0.0000 0.5000  8 Rh 2.73, 4 Ti 2.73
4 Rh 0.5000 0.5000 0.0000  8 Rh 2.73, 4 Ti 2.73

***

(12)
The following is a DFT calculation (PBE) of a relaxed Pm5Dy6 crystal.

Calculated values
- V: 367.29 Å³/cell
- Space group: C2/m (12)
- Formation energy from the elements: 136.0 meV/atom

Cell: 8.0036 8.0036 6.4273 Å, 99.92 99.92 110.61°
Last column: nearest neighbours and their distance in Å.
Atoms (fractional coordinates):
1 Pm 0.0000 0.0000 0.0000  6 Pm 3.43-3.64, 6 Dy 3.50-3.63
2 Pm 0.1298 0.8702 0.5000  5 Pm 3.42-3.65, 6 Dy 3.45-3.57
3 Pm 0.2606 0.7394 0.0000  6 Dy 3.34-3.54, 3 Pm 3.43-3.65
4 Pm 0.7394 0.2606 0.0000  6 Dy 3.34-3.54, 3 Pm 3.43-3.65
5 Pm 0.8702 0.1298 0.5000  5 Pm 3.42-3.65, 6 Dy 3.45-3.57
6 Dy 0.1938 0.4529 0.3270  3 Dy 3.31-3.51, 5 Pm 3.34-3.57
7 Dy 0.3365 0.3365 0.8097  3 Dy 3.23-3.51, 4 Pm 3.54-3.55
8 Dy 0.4529 0.1938 0.3270  3 Dy 3.31-3.51, 5 Pm 3.34-3.57
9 Dy 0.5471 0.8062 0.6730  3 Dy 3.31-3.51, 5 Pm 3.34-3.57
10 Dy 0.6635 0.6635 0.1903  3 Dy 3.23-3.51, 4 Pm 3.54-3.55
11 Dy 0.8062 0.5471 0.6730  3 Dy 3.31-3.51, 5 Pm 3.34-3.57

***

- The highest V belongs to which entry?
  Rb12Ge3F5